Record 1
# Ti3GeW (PBE, optimized geometry)
data_Ti3GeW
_space_group_name_H-M_alt 'P 1'
_space_group_IT_number 1
_cell_length_a 4.765
_cell_length_b 4.765
_cell_length_c 4.765
_cell_angle_alpha 90.00
_cell_angle_beta 90.00
_cell_angle_gamma 90.00
loop_
_space_group_symop_operation_xyz
'x,y,z'
loop_
_atom_site_label
_atom_site_fract_x
_atom_site_fract_y
_atom_site_fract_z
Ge1 0.500 0.500 0.500
W1 0.000 0.000 0.000
Ti1 0.000 0.000 0.500
Ti2 0.000 0.500 0.000
Ti3 0.500 0.000 0.000
# ρ in Mg/m³: 6.1
# Size of the total moment in μB/f.u.: 1.9
# V in Å³/cell: 108.2
# Energy in eV per atom: -7.34
# SG: No. 221


Record 2
# TiCuTe2N (PBE, optimized geometry)
data_TiCuTe2N
_space_group_name_H-M_alt 'P 1'
_space_group_IT_number 1
_cell_length_a 5.347
_cell_length_b 5.347
_cell_length_c 3.550
_cell_angle_alpha 90.00
_cell_angle_beta 90.00
_cell_angle_gamma 90.00
loop_
_space_group_symop_operation_xyz
'x,y,z'
loop_
_atom_site_label
_atom_site_fract_x
_atom_site_fract_y
_atom_site_fract_z
Te1 0.000 0.500 0.000
Te2 0.500 0.000 0.000
Cu1 0.000 0.000 0.000
N1 0.000 0.000 0.500
Ti1 0.500 0.500 0.500
# ρ in Mg/m³: 6.2
# Size of the total moment in μB/f.u.: 2.8
# V in Å³/cell: 101.5
# Formation energy from raw total energies in eV/f.u.: 3.2
# SG: No. 123


Record 3
# CaSm4As5 (PBE, optimized geometry)
data_CaSm4As5
_space_group_name_H-M_alt 'P 1'
_space_group_IT_number 1
_cell_length_a 4.218
_cell_length_b 5.970
_cell_length_c 11.194
_cell_angle_alpha 105.47
_cell_angle_beta 100.86
_cell_angle_gamma 90.00
loop_
_space_group_symop_operation_xyz
'x,y,z'
loop_
_atom_site_label
_atom_site_fract_x
_atom_site_fract_y
_atom_site_fract_z
As1 0.397 0.897 0.793
As2 0.603 0.103 0.207
As3 0.199 0.699 0.398
As4 0.000 0.500 0.000
As5 0.801 0.301 0.602
Sm1 0.599 0.599 0.197
Sm2 0.800 0.800 0.601
Sm3 0.200 0.200 0.399
Sm4 0.401 0.401 0.803
Ca1 0.000 0.000 0.000
# ρ in Mg/m³: 6.3
# Size of the total moment in μB/f.u.: 0.0
# V in Å³/cell: 266.4
# Energy in eV per atom: -5.81
# SG: No. 71


Record 4
# MoPt4Au (PBE, optimized geometry)
data_MoPt4Au
_space_group_name_H-M_alt 'P 1'
_space_group_IT_number 1
_cell_length_a 5.248
_cell_length_b 5.248
_cell_length_c 5.248
_cell_angle_alpha 60.00
_cell_angle_beta 60.00
_cell_angle_gamma 60.00
loop_
_space_group_symop_operation_xyz
'x,y,z'
loop_
_atom_site_label
_atom_site_fract_x
_atom_site_fract_y
_atom_site_fract_z
Mo1 0.000 0.000 0.000
Pt1 0.625 0.625 0.625
Pt2 0.125 0.625 0.625
Pt3 0.625 0.625 0.125
Pt4 0.625 0.125 0.625
Au1 0.250 0.250 0.250
# ρ in Mg/m³: 17.4
# Size of the total moment in μB/f.u.: 1.9
# V in Å³/cell: 102.2
# Energy in eV per atom: -6.17
# SG: No. 216